## a
## Tb3Nd2Er (PBE)

Data for a relaxed Tb3Nd2Er crystal.

```
12
Lattice="5.170 -5.742 0.000 5.170 5.742 0.000 -0.039 0.000 6.705" Properties=species:S:1:pos:R:3 pbc="T T T"
Tb 1.695 0.015 6.704
Tb 1.714 -0.015 3.351
Tb 5.141 3.045 5.028
Tb 5.160 -3.045 1.676
Tb 8.587 0.015 3.353
Tb 8.607 -0.015 0.001
Nd 3.432 2.698 1.693
Nd 6.889 2.698 1.659
Nd 3.413 -2.698 5.046
Nd 6.870 -2.698 5.011
Er 5.170 0.000 0.000
Er 5.151 0.000 3.352
```


## b
## Tb3Nd2Er (PBE)

Data for a relaxed Tb3Nd2Er crystal.

```
12
Lattice="8.588 -2.832 0.000 8.588 2.832 0.000 -5.706 0.000 8.118" Properties=species:S:1:pos:R:3 pbc="T T T"
Tb -0.449 0.000 1.635
Tb 2.059 0.000 4.066
Tb 1.337 0.000 7.513
Tb 10.133 0.000 0.605
Tb 9.410 0.000 4.052
Tb 11.919 0.000 6.482
Nd 3.511 0.000 0.741
Nd 6.539 0.000 2.803
Nd 4.930 0.000 5.315
Nd 7.959 0.000 7.377
Er -1.380 0.000 5.132
Er 12.850 0.000 2.986
```


Taking the most stable structure as the zero point, the relative energies in eV/atom are a 0.093; b 0.000.


## a
## Tb4Nd7Er (PBE)

Data for a relaxed Tb4Nd7Er crystal.

```
12
Lattice="8.126 -3.009 0.000 8.126 3.009 0.000 -4.123 0.000 8.464" Properties=species:S:1:pos:R:3 pbc="T T T"
Tb 0.355 0.000 1.671
Tb -0.861 0.000 7.525
Tb 12.990 0.000 0.939
Tb 11.773 0.000 6.793
Nd -2.062 0.000 4.232
Nd 3.620 0.000 2.291
Nd 2.164 0.000 5.253
Nd 6.539 0.000 0.488
Nd 5.589 0.000 7.976
Nd 9.964 0.000 3.211
Nd 8.509 0.000 6.174
Er 6.064 0.000 4.232
```


## b
## Tb4Nd7Er (PBE)

Data for a relaxed Tb4Nd7Er crystal.

```
12
Lattice="6.335 0.000 0.000 0.002 7.306 0.000 2.108 0.005 8.772" Properties=species:S:1:pos:R:3 pbc="T T T"
Tb 2.110 7.306 2.938
Tb 3.167 1.819 5.862
Tb 5.278 5.492 2.910
Tb 6.335 0.004 5.834
Nd 0.000 0.000 0.000
Nd 2.107 3.655 2.932
Nd 3.174 5.488 5.850
Nd 5.267 1.822 8.763
Nd 3.178 5.488 0.009
Nd 5.271 1.823 2.922
Nd 6.338 3.655 5.840
Er 0.001 3.653 0.000
```


Taking the most stable structure as the zero point, the relative energies in eV/atom are a 0.210; b 0.000.


## a
## Tb4NdEr (PBE)

Data for a relaxed Tb4NdEr crystal.

```
6
Lattice="5.042 0.000 0.000 -2.519 5.652 0.000 -0.008 -2.256 6.776" Properties=species:S:1:pos:R:3 pbc="T T T"
Tb -0.002 1.125 2.248
Tb -0.006 0.014 5.659
Tb 2.521 3.382 1.117
Tb 2.518 2.271 4.527
Nd 2.517 -1.128 3.388
Er 2.521 0.000 0.000
```


## b
## Tb4NdEr (PBE)

Data for a relaxed Tb4NdEr crystal.

```
6
Lattice="0.000 4.663 4.663 4.663 0.000 4.663 4.663 4.663 0.000" Properties=species:S:1:pos:R:3 pbc="T T T"
Tb 1.163 1.163 1.163
Tb 3.500 3.500 1.163
Tb 3.500 1.163 3.500
Tb 1.163 3.500 3.500
Nd 4.663 4.663 4.663
Er 6.994 6.994 6.994
```


Taking the most stable structure as the zero point, the relative energies in eV/atom are a 0.000; b 0.250.


## a
## TbNd2Er3 (PBE)

Data for a relaxed TbNd2Er3 crystal.

```
12
Lattice="8.501 -2.777 0.000 8.501 2.777 0.000 -5.725 0.000 8.282" Properties=species:S:1:pos:R:3 pbc="T T T"
Tb 1.476 0.000 1.162
Tb 9.800 0.000 7.119
Nd -1.107 0.000 7.209
Nd 7.515 0.000 1.164
Nd 3.761 0.000 7.118
Nd 12.383 0.000 1.073
Er -1.421 0.000 3.283
Er 1.679 0.000 4.770
Er 4.606 0.000 2.868
Er 6.670 0.000 5.414
Er 9.598 0.000 3.512
Er 12.697 0.000 4.998
```


## b
## TbNd2Er3 (PBE)

Data for a relaxed TbNd2Er3 crystal.

```
12
Lattice="6.007 -2.843 0.000 6.007 2.843 0.000 -3.990 0.000 11.324" Properties=species:S:1:pos:R:3 pbc="T T T"
Tb 0.660 0.000 3.769
Tb 7.364 0.000 7.555
Nd -0.995 0.000 7.082
Nd 1.011 0.000 9.923
Nd 7.012 0.000 1.401
Nd 9.019 0.000 4.242
Er -2.654 0.000 10.383
Er 3.332 0.000 1.886
Er 2.677 0.000 6.605
Er 5.347 0.000 4.720
Er 4.691 0.000 9.439
Er 10.678 0.000 0.941
```


Taking the most stable structure as the zero point, the relative energies in eV/atom are a 0.025; b 0.000.